[1]
# GeSbPt2 | the Alexandria database | PBE | relaxed
# ΔE_f (raw) (eV/atom): -0.4275
# DOS at the Fermi energy (states/eV per atom): 0.368
# Uncorrected energy (eV/atom): -5.633
# Total magnetic moment (μB/f.u.): 0.00
# Energy relative to the lowest polymorph listed for this composition (meV/atom): 0
# Volume (Å³/cell): 623
data_GeSbPt2
_cell_length_a 5.517
_cell_length_b 16.232
_cell_length_c 6.951
_cell_angle_alpha 90.00
_cell_angle_beta 90.00
_cell_angle_gamma 90.00
_symmetry_space_group_name_H-M 'P b c a'
_symmetry_Int_Tables_number 61
_symmetry_space_group_name_Hall '-P 2ac 2ab'
loop_
_atom_site_label
_atom_site_fract_x
_atom_site_fract_y
_atom_site_fract_z
Ge1 0.225 0.061 0.080
Sb1 0.231 0.686 0.589
Pt1 0.002 0.177 0.259
Pt2 0.002 0.553 0.774


[2]
# GeSbPt2 | the Alexandria database | PBE | relaxed
# ΔE_f (raw) (eV/atom): -0.1807
# DOS at the Fermi energy (states/eV per atom): 0.508
# Uncorrected energy (eV/atom): -5.386
# Total magnetic moment (μB/f.u.): 0.00
# Energy relative to the lowest polymorph listed for this composition (meV/atom): 247
# Volume (Å³/cell): 390
data_GeSbPt2
_cell_length_a 6.029
_cell_length_b 6.029
_cell_length_c 10.733
_cell_angle_alpha 90.00
_cell_angle_beta 90.00
_cell_angle_gamma 90.00
_symmetry_space_group_name_H-M 'I -4 2 d'
_symmetry_Int_Tables_number 122
_symmetry_space_group_name_Hall 'I -4 2bw'
loop_
_atom_site_label
_atom_site_fract_x
_atom_site_fract_y
_atom_site_fract_z
Ge1 0.000 0.000 0.000
Sb1 0.000 0.000 0.500
Pt1 0.227 0.250 0.125